# 1
# Co2HOsRh | the Alexandria database | PBE | optimized geometry
data_Co2HOsRh
_chemical_formula_sum 'Co2 H1 Os1 Rh1'
_space_group_name_H-M_alt 'P 1'
_space_group_IT_number 1
_cell_length_a 3.749
_cell_length_b 3.749
_cell_length_c 3.720
_cell_angle_alpha 90.00
_cell_angle_beta 90.00
_cell_angle_gamma 90.00
loop_
_space_group_symop_operation_xyz
'x,y,z'
loop_
_atom_site_label
_atom_site_fract_x
_atom_site_fract_y
_atom_site_fract_z
Co1 0.500 0.000 0.000
Co2 0.000 0.500 0.000
Rh1 0.500 0.500 0.500
H1 0.000 0.000 0.000
Os1 0.000 0.000 0.500
# Energy, eV per atom: -7.034
# SG: P4/mmm
# Calculated volume, A^3/atom: 10.5

# 2
# Co2HOsRh | the Alexandria database | PBE | optimized geometry
data_Co2HOsRh
_chemical_formula_sum 'Co2 H1 Os1 Rh1'
_space_group_name_H-M_alt 'P 1'
_space_group_IT_number 1
_cell_length_a 3.761
_cell_length_b 3.761
_cell_length_c 3.689
_cell_angle_alpha 90.00
_cell_angle_beta 90.00
_cell_angle_gamma 90.00
loop_
_space_group_symop_operation_xyz
'x,y,z'
loop_
_atom_site_label
_atom_site_fract_x
_atom_site_fract_y
_atom_site_fract_z
Co1 0.000 0.500 0.000
Co2 0.500 0.000 0.000
H1 0.000 0.000 0.000
Os1 0.500 0.500 0.500
Rh1 0.000 0.000 0.500
# Energy, eV per atom: -7.034
# SG: P4/mmm
# Calculated volume, A^3/atom: 10.4

# 3
# Co2HOsRu | the Alexandria database | PBE | optimized geometry
data_Co2HOsRu
_chemical_formula_sum 'Co2 H1 Os1 Ru1'
_space_group_name_H-M_alt 'P 1'
_space_group_IT_number 1
_cell_length_a 3.718
_cell_length_b 3.718
_cell_length_c 3.753
_cell_angle_alpha 90.00
_cell_angle_beta 90.00
_cell_angle_gamma 90.00
loop_
_space_group_symop_operation_xyz
'x,y,z'
loop_
_atom_site_label
_atom_site_fract_x
_atom_site_fract_y
_atom_site_fract_z
H1 0.000 0.000 0.000
Ru1 0.500 0.500 0.500
Co1 0.500 0.000 0.000
Co2 0.000 0.500 0.000
Os1 0.000 0.000 0.500
# Energy, eV per atom: -7.404
# SG: P4/mmm
# Calculated volume, A^3/atom: 10.4

| no. | spin magnetization (μB/f.u.) |
| --- | --- |
| 1 | 2.21 |
| 2 | 2.71 |
| 3 | 1.89 |